{"formula": "HfCrI2O", "functional": "PBE+U", "state": "optimized geometry", "rho_g_cm3": 6.12, "e_tot_ev_per_cell": -29.897, "magmom_total_mub_per_fu": 5.46, "sg": "No. 123", "lattice": [[5.841, 0.000, 0.000], [0.000, 5.841, 0.000], [0.000, 0.000, 3.975]], "species": ["O", "I", "I", "Cr", "Hf"], "fractional_positions": [[0.000, 0.000, 0.500], [0.000, 0.500, 0.000], [0.500, 0.000, 0.000], [0.500, 0.500, 0.500], [0.000, 0.000, 0.000]]}